The following is a DFT calculation (PBE-GGA) of ErMn2SiC after structural relaxation.

```
data_ErMn2SiC
_chemical_formula_sum 'Er2 Mn4 Si2 C2'
_symmetry_space_group_name_H-M 'P 1'
_symmetry_Int_Tables_number 1
_cell_length_a 5.5815
_cell_length_b 5.5815
_cell_length_c 6.9706
_cell_angle_alpha 90.00
_cell_angle_beta 90.00
_cell_angle_gamma 141.52
loop_
_symmetry_equiv_pos_as_xyz
'x,y,z'
loop_
_atom_site_label
_atom_site_type_symbol
_atom_site_fract_x
_atom_site_fract_y
_atom_site_fract_z
_atom_site_occupancy
Er1 Er 0.0432 0.9568 0.7500 1
Er2 Er 0.9568 0.0432 0.2500 1
Mn1 Mn 0.3316 0.6684 0.5614 1
Mn2 Mn 0.3316 0.6684 0.9386 1
Mn3 Mn 0.6684 0.3316 0.0614 1
Mn4 Mn 0.6684 0.3316 0.4386 1
Si1 Si 0.2360 0.7640 0.2500 1
Si2 Si 0.7640 0.2360 0.7500 1
C1 C 0.5000 0.5000 0.0000 1
C2 C 0.5000 0.5000 0.5000 1
```

Calculated values
Space group ... Cmcm, No. 63
VASP energy ... -8.03 eV per atom

The following is a DFT calculation (PBE-GGA) of MgAuSeN2 after structural relaxation.

```
data_MgAuSeN2
_chemical_formula_sum 'Mg1 Au1 Se1 N2'
_symmetry_space_group_name_H-M 'P 1'
_symmetry_Int_Tables_number 1
_cell_length_a 3.9208
_cell_length_b 3.9208
_cell_length_c 7.3627
_cell_angle_alpha 90.00
_cell_angle_beta 90.00
_cell_angle_gamma 90.00
loop_
_symmetry_equiv_pos_as_xyz
'x,y,z'
loop_
_atom_site_label
_atom_site_type_symbol
_atom_site_fract_x
_atom_site_fract_y
_atom_site_fract_z
_atom_site_occupancy
Mg1 Mg 0.0000 0.0000 0.0000 1
Au1 Au 0.5000 0.5000 0.5000 1
Se1 Se 0.5000 0.5000 0.0000 1
N1 N 0.0000 0.5000 0.5000 1
N2 N 0.5000 0.0000 0.5000 1
```

Calculated values
Energy relative to the lowest polymorph listed for this composition ... 0.0 meV/atom
Space group ... P4/mmm, No. 123

The following is a DFT calculation (PBE-GGA) of InAgIr2 after structural relaxation.

```
data_InAgIr2
_chemical_formula_sum 'In1 Ag1 Ir2'
_symmetry_space_group_name_H-M 'P 1'
_symmetry_Int_Tables_number 1
_cell_length_a 4.8285
_cell_length_b 4.8285
_cell_length_c 2.9587
_cell_angle_alpha 90.00
_cell_angle_beta 90.00
_cell_angle_gamma 106.17
loop_
_symmetry_equiv_pos_as_xyz
'x,y,z'
loop_
_atom_site_label
_atom_site_type_symbol
_atom_site_fract_x
_atom_site_fract_y
_atom_site_fract_z
_atom_site_occupancy
In1 In 0.0000 0.0000 0.0000 1
Ag1 Ag 0.5000 0.5000 0.0000 1
Ir1 Ir 0.0000 0.5000 0.5000 1
Ir2 Ir 0.5000 0.0000 0.5000 1
```

Calculated values
ΔH_f (0 K) ... 0.29 eV per atom
Space group ... Cmmm, No. 65

The following is a DFT calculation (PBE-GGA) of GaH2Pd3 after structural relaxation.

```
data_GaH2Pd3
_chemical_formula_sum 'Ga2 H4 Pd6'
_symmetry_space_group_name_H-M 'P 1'
_symmetry_Int_Tables_number 1
_cell_length_a 2.9801
_cell_length_b 9.0215
_cell_length_c 5.0261
_cell_angle_alpha 90.00
_cell_angle_beta 90.00
_cell_angle_gamma 90.00
loop_
_symmetry_equiv_pos_as_xyz
'x,y,z'
loop_
_atom_site_label
_atom_site_type_symbol
_atom_site_fract_x
_atom_site_fract_y
_atom_site_fract_z
_atom_site_occupancy
Ga1 Ga 0.0000 0.1367 0.0000 1
Ga2 Ga 0.0000 0.8633 0.5000 1
H1 H 0.0000 0.2688 0.4291 1
H2 H 0.0000 0.7312 0.9291 1
H3 H 0.5000 0.4742 0.5714 1
H4 H 0.5000 0.5258 0.0714 1
Pd1 Pd 0.0000 0.3789 0.7236 1
Pd2 Pd 0.0000 0.6211 0.2236 1
Pd3 Pd 0.5000 0.0903 0.5734 1
Pd4 Pd 0.5000 0.3388 0.2248 1
Pd5 Pd 0.5000 0.6612 0.7248 1
Pd6 Pd 0.5000 0.9097 0.0734 1
```

Calculated values
Space group ... Pmc2_1, No. 26
VASP energy ... -4.47 eV per atom

The following is a DFT calculation (PBE-GGA) of PrCu2Ni after structural relaxation.

```
data_PrCu2Ni
_chemical_formula_sum 'Pr1 Cu2 Ni1'
_symmetry_space_group_name_H-M 'P 1'
_symmetry_Int_Tables_number 1
_cell_length_a 5.3894
_cell_length_b 5.3894
_cell_length_c 5.3894
_cell_angle_alpha 45.40
_cell_angle_beta 45.40
_cell_angle_gamma 45.40
loop_
_symmetry_equiv_pos_as_xyz
'x,y,z'
loop_
_atom_site_label
_atom_site_type_symbol
_atom_site_fract_x
_atom_site_fract_y
_atom_site_fract_z
_atom_site_occupancy
Pr1 Pr 0.0000 0.0000 0.0000 1
Cu1 Cu 0.2004 0.2004 0.2004 1
Cu2 Cu 0.7996 0.7996 0.7996 1
Ni1 Ni 0.5000 0.5000 0.5000 1
```

Calculated values
ΔH_f (0 K) ... -0.14 eV per atom
Space group ... R-3m, No. 166

The following is a DFT calculation (PBE-GGA) of Er2Si3Os after structural relaxation.

```
data_Er2Si3Os
_chemical_formula_sum 'Er2 Si3 Os1'
_symmetry_space_group_name_H-M 'P 1'
_symmetry_Int_Tables_number 1
_cell_length_a 6.1541
_cell_length_b 6.1541
_cell_length_c 6.1541
_cell_angle_alpha 139.77
_cell_angle_beta 127.04
_cell_angle_gamma 68.54
loop_
_symmetry_equiv_pos_as_xyz
'x,y,z'
loop_
_atom_site_label
_atom_site_type_symbol
_atom_site_fract_x
_atom_site_fract_y
_atom_site_fract_z
_atom_site_occupancy
Er1 Er 0.1852 0.1852 0.0000 1
Er2 Er 0.8148 0.8148 0.0000 1
Si1 Si 0.0000 0.5000 0.5000 1
Si2 Si 0.3779 0.8779 0.5000 1
Si3 Si 0.6221 0.1221 0.5000 1
Os1 Os 0.5000 0.5000 0.0000 1
```

Calculated values
Energy relative to the lowest polymorph listed for this composition ... 376.9 meV/atom
Space group ... Immm, No. 71

The following is a DFT calculation (PBE-GGA) of Ti2BAsS after structural relaxation.

```
data_Ti2BAsS
_chemical_formula_sum 'Ti2 B1 As1 S1'
_symmetry_space_group_name_H-M 'P 1'
_symmetry_Int_Tables_number 1
_cell_length_a 4.8210
_cell_length_b 4.8210
_cell_length_c 3.6935
_cell_angle_alpha 90.00
_cell_angle_beta 90.00
_cell_angle_gamma 90.00
loop_
_symmetry_equiv_pos_as_xyz
'x,y,z'
loop_
_atom_site_label
_atom_site_type_symbol
_atom_site_fract_x
_atom_site_fract_y
_atom_site_fract_z
_atom_site_occupancy
Ti1 Ti 0.0000 0.5000 0.0000 1
Ti2 Ti 0.5000 0.0000 0.0000 1
B1 B 0.0000 0.0000 0.5000 1
As1 As 0.0000 0.0000 0.0000 1
S1 S 0.5000 0.5000 0.5000 1
```

Calculated values
Space group ... P4/mmm, No. 123
VASP energy ... -5.76 eV per atom

The following is a DFT calculation (PBE-GGA) of CuSbHIr2 after structural relaxation.

```
data_CuSbHIr2
_chemical_formula_sum 'Cu1 Sb1 H1 Ir2'
_symmetry_space_group_name_H-M 'P 1'
_symmetry_Int_Tables_number 1
_cell_length_a 4.8203
_cell_length_b 4.8203
_cell_length_c 3.0617
_cell_angle_alpha 90.00
_cell_angle_beta 90.00
_cell_angle_gamma 90.00
loop_
_symmetry_equiv_pos_as_xyz
'x,y,z'
loop_
_atom_site_label
_atom_site_type_symbol
_atom_site_fract_x
_atom_site_fract_y
_atom_site_fract_z
_atom_site_occupancy
Cu1 Cu 0.0000 0.0000 0.0000 1
Sb1 Sb 0.5000 0.5000 0.5000 1
H1 H 0.0000 0.0000 0.5000 1
Ir1 Ir 0.0000 0.5000 0.0000 1
Ir2 Ir 0.5000 0.0000 0.0000 1
```

Calculated values
Space group ... P4/mmm, No. 123
VASP energy ... -5.24 eV per atom

The following is a DFT calculation (PBE-GGA) of KLiSe2 after structural relaxation.

```
data_KLiSe2
_chemical_formula_sum 'K1 Li1 Se2'
_symmetry_space_group_name_H-M 'P 1'
_symmetry_Int_Tables_number 1
_cell_length_a 4.6660
_cell_length_b 4.6660
_cell_length_c 4.3504
_cell_angle_alpha 90.00
_cell_angle_beta 90.00
_cell_angle_gamma 90.00
loop_
_symmetry_equiv_pos_as_xyz
'x,y,z'
loop_
_atom_site_label
_atom_site_type_symbol
_atom_site_fract_x
_atom_site_fract_y
_atom_site_fract_z
_atom_site_occupancy
K1 K 0.0000 0.0000 0.0000 1
Li1 Li 0.5000 0.5000 0.0000 1
Se1 Se 0.0000 0.5000 0.5000 1
Se2 Se 0.5000 0.0000 0.5000 1
```

Calculated values
Space group ... P4/mmm, No. 123
VASP energy ... -3.09 eV per atom

The following is a DFT calculation (PBE-GGA) of Sm10In3Te3 after structural relaxation.

```
data_Sm10In3Te3
_chemical_formula_sum 'Sm10 In3 Te3'
_symmetry_space_group_name_H-M 'P 1'
_symmetry_Int_Tables_number 1
_cell_length_a 9.2249
_cell_length_b 9.2249
_cell_length_c 6.5470
_cell_angle_alpha 90.00
_cell_angle_beta 90.00
_cell_angle_gamma 120.00
loop_
_symmetry_equiv_pos_as_xyz
'x,y,z'
loop_
_atom_site_label
_atom_site_type_symbol
_atom_site_fract_x
_atom_site_fract_y
_atom_site_fract_z
_atom_site_occupancy
Sm1 Sm 0.0000 0.2399 0.0000 1
Sm2 Sm 0.0000 0.7567 0.5000 1
Sm3 Sm 0.2399 0.0000 0.0000 1
Sm4 Sm 0.2433 0.2433 0.5000 1
Sm5 Sm 0.3333 0.6667 0.2504 1
Sm6 Sm 0.3333 0.6667 0.7496 1
Sm7 Sm 0.6667 0.3333 0.2504 1
Sm8 Sm 0.6667 0.3333 0.7496 1
Sm9 Sm 0.7567 0.0000 0.5000 1
Sm10 Sm 0.7601 0.7601 0.0000 1
In1 In 0.0000 0.6073 0.0000 1
In2 In 0.3927 0.3927 0.0000 1
In3 In 0.6073 0.0000 0.0000 1
Te1 Te 0.0000 0.3870 0.5000 1
Te2 Te 0.3870 0.0000 0.5000 1
Te3 Te 0.6130 0.6130 0.5000 1
```

Calculated values
Space group ... P-62m, No. 189
VASP energy ... -4.78 eV per atom

The following is a DFT calculation (PBE-GGA) of POsC after structural relaxation.

```
data_POsC
_chemical_formula_sum 'P1 Os1 C1'
_symmetry_space_group_name_H-M 'P 1'
_symmetry_Int_Tables_number 1
_cell_length_a 2.8785
_cell_length_b 4.5398
_cell_length_c 2.8875
_cell_angle_alpha 90.00
_cell_angle_beta 116.60
_cell_angle_gamma 90.00
loop_
_symmetry_equiv_pos_as_xyz
'x,y,z'
loop_
_atom_site_label
_atom_site_type_symbol
_atom_site_fract_x
_atom_site_fract_y
_atom_site_fract_z
_atom_site_occupancy
P1 P 0.0000 0.0000 0.0000 1
Os1 Os 0.5000 0.5985 0.5000 1
C1 C 0.0000 0.2514 0.5000 1
```

Calculated values
Energy relative to the lowest polymorph listed for this composition ... 236.4 meV/atom
ΔH_f (0 K) ... 0.63 eV per atom
Space group ... P2, No. 3

The following is a DFT calculation (PBE-GGA) of La2IO after structural relaxation.

```
data_La2IO
_chemical_formula_sum 'La2 I1 O1'
_symmetry_space_group_name_H-M 'P 1'
_symmetry_Int_Tables_number 1
_cell_length_a 5.1780
_cell_length_b 5.1780
_cell_length_c 5.1780
_cell_angle_alpha 60.00
_cell_angle_beta 60.00
_cell_angle_gamma 60.00
loop_
_symmetry_equiv_pos_as_xyz
'x,y,z'
loop_
_atom_site_label
_atom_site_type_symbol
_atom_site_fract_x
_atom_site_fract_y
_atom_site_fract_z
_atom_site_occupancy
La1 La 0.2500 0.2500 0.2500 1
La2 La 0.7500 0.7500 0.7500 1
I1 I 0.0000 0.0000 0.0000 1
O1 O 0.5000 0.5000 0.5000 1
```

Calculated values
Energy relative to the lowest polymorph listed for this composition ... 815.2 meV/atom
Space group ... Fm-3m, No. 225